Record 1
Material: Sc2HgP
Method: DFT, PBE
State: optimized geometry

Computed properties:
- calculated volume (Å³/atom) = 19.83
- energy (eV per atom) = -5.3250
- energy relative to the lowest polymorph listed for this composition (meV per atom) = 189.9
- M_tot (μB per formula unit) = 0.08
- density of states at the Fermi level (states/eV per cell) = 4.38

Lattice parameters (Å, degrees): 3.3229 3.4190 7.0293 90.00 96.69 90.00
Positions (direct):
Sc: 0.0637 0.0000 0.2877
Sc: 0.9363 0.0000 0.7123
Hg: 0.5000 0.5000 0.0000
P: 0.5000 0.5000 0.5000

Record 2
Material: Sc2HgP
Method: DFT, PBE
State: optimized geometry

Computed properties:
- calculated volume (Å³/atom) = 19.69
- energy (eV per atom) = -5.1076
- energy relative to the lowest polymorph listed for this composition (meV per atom) = 407.3
- M_tot (μB per formula unit) = 0.71
- density of states at the Fermi level (states/eV per cell) = 5.76

Lattice parameters (Å, degrees): 4.8114 4.8114 4.8114 60.00 60.00 60.00
Positions (direct):
Sc: 0.2500 0.2500 0.2500
Sc: 0.7500 0.7500 0.7500
Hg: 0.0000 0.0000 0.0000
P: 0.5000 0.5000 0.5000

Record 3
Material: Sc3HgP
Method: DFT, PBE
State: optimized geometry

Computed properties:
- calculated volume (Å³/atom) = 23.29
- energy (eV per atom) = -5.5658
- energy relative to the lowest polymorph listed for this composition (meV per atom) = 0.0
- M_tot (μB per formula unit) = 0.00
- density of states at the Fermi level (states/eV per cell) = 3.76

Lattice parameters (Å, degrees): 4.8830 4.8830 4.8830 90.00 90.00 90.00
Positions (direct):
Sc: 0.0000 0.0000 0.5000
Sc: 0.0000 0.5000 0.0000
Sc: 0.5000 0.0000 0.0000
Hg: 0.5000 0.5000 0.5000
P: 0.0000 0.0000 0.0000

Record 4
Material: Sc6HgP2Se3
Method: DFT, PBE
State: optimized geometry

Computed properties:
- calculated volume (Å³/atom) = 20.53
- energy (eV per atom) = -6.3379
- M_tot (μB per formula unit) = 0.00
- density of states at the Fermi level (states/eV per cell) = 5.28

Lattice parameters (Å, degrees): 8.6293 8.6293 7.8756 102.45 102.45 25.52
Positions (direct):
Sc: 0.0083 0.0083 0.2690
Sc: 0.3267 0.3267 0.4279
Sc: 0.3267 0.3267 0.8902
Sc: 0.6733 0.6733 0.1098
Sc: 0.6733 0.6733 0.5721
Sc: 0.9917 0.9917 0.7310
Hg: 0.5000 0.5000 0.0000
P: 0.1683 0.1683 0.3383
P: 0.8317 0.8317 0.6617
Se: 0.1638 0.1638 0.8340
Se: 0.5000 0.5000 0.5000
Se: 0.8362 0.8362 0.1660

Question: Which value of calculated volume does entry 3 give?
Answer: 23.29 Å³/atom